Entry 1:
Material: Sr2YCu
Method: DFT, PBE-GGA
State: relaxed

The structure in CIF format:
```
data_Sr2YCu
_cell_length_a 8.007
_cell_length_b 8.007
_cell_length_c 8.007
_cell_angle_alpha 97.09
_cell_angle_beta 97.09
_cell_angle_gamma 138.86
_symmetry_space_group_name_H-M 'P 1'
_symmetry_Int_Tables_number 1
_symmetry_space_group_name_Hall 'P 1'
loop_
_atom_site_label
_atom_site_type_symbol
_atom_site_fract_x
_atom_site_fract_y
_atom_site_fract_z
_atom_site_occupancy
Sr1 Sr 0.001 0.625 0.876 1
Sr2 Sr 0.375 0.251 0.376 1
Sr3 Sr 0.749 0.125 0.124 1
Sr4 Sr 0.875 0.999 0.624 1
Y1 Y 0.250 0.750 0.500 1
Y2 Y 0.500 0.500 0.000 1
Cu1 Cu 0.000 0.000 0.000 1
Cu2 Cu 0.750 0.250 0.500 1
```

## Properties
Total energy, eV per atom: -3.184
D(E_F), states/eV per cell: 11.5
ΔH_f (0 K), kJ per mole of atoms: 28.6
Magnetic moment, μB/f.u.: 0.0


Entry 2:
Material: Sr2YCu
Method: DFT, PBE-GGA
State: relaxed

The structure in CIF format:
```
data_Sr2YCu
_cell_length_a 10.847
_cell_length_b 10.847
_cell_length_c 10.847
_cell_angle_alpha 21.18
_cell_angle_beta 21.18
_cell_angle_gamma 21.18
_symmetry_space_group_name_H-M 'P 1'
_symmetry_Int_Tables_number 1
_symmetry_space_group_name_Hall 'P 1'
loop_
_atom_site_label
_atom_site_type_symbol
_atom_site_fract_x
_atom_site_fract_y
_atom_site_fract_z
_atom_site_occupancy
Sr1 Sr 0.232 0.232 0.232 1
Sr2 Sr 0.768 0.768 0.768 1
Y1 Y 0.000 0.000 0.000 1
Cu1 Cu 0.500 0.500 0.500 1
```

## Properties
Total energy, eV per atom: -3.259
D(E_F), states/eV per cell: 5.6
ΔH_f (0 K), kJ per mole of atoms: 21.4
Magnetic moment, μB/f.u.: 0.0


Entry 3:
Material: Sr2YCu
Method: DFT, PBE-GGA
State: relaxed

The structure in CIF format:
```
data_Sr2YCu
_cell_length_a 5.700
_cell_length_b 5.700
_cell_length_c 5.700
_cell_angle_alpha 60.00
_cell_angle_beta 60.00
_cell_angle_gamma 60.00
_symmetry_space_group_name_H-M 'P 1'
_symmetry_Int_Tables_number 1
_symmetry_space_group_name_Hall 'P 1'
loop_
_atom_site_label
_atom_site_type_symbol
_atom_site_fract_x
_atom_site_fract_y
_atom_site_fract_z
_atom_site_occupancy
Sr1 Sr 0.000 0.000 0.000 1
Sr2 Sr 0.250 0.250 0.250 1
Y1 Y 0.750 0.750 0.750 1
Cu1 Cu 0.500 0.500 0.500 1
```

## Properties
Total energy, eV per atom: -3.077
D(E_F), states/eV per cell: 4.3
ΔH_f (0 K), kJ per mole of atoms: 39.0
Magnetic moment, μB/f.u.: 0.0


Entry 4:
Material: Sr2YCu
Method: DFT, PBE-GGA
State: relaxed

The structure in CIF format:
```
data_Sr2YCu
_cell_length_a 5.796
_cell_length_b 5.796
_cell_length_c 5.796
_cell_angle_alpha 60.00
_cell_angle_beta 60.00
_cell_angle_gamma 60.00
_symmetry_space_group_name_H-M 'P 1'
_symmetry_Int_Tables_number 1
_symmetry_space_group_name_Hall 'P 1'
loop_
_atom_site_label
_atom_site_type_symbol
_atom_site_fract_x
_atom_site_fract_y
_atom_site_fract_z
_atom_site_occupancy
Sr1 Sr 0.250 0.250 0.250 1
Sr2 Sr 0.750 0.750 0.750 1
Y1 Y 0.000 0.000 0.000 1
Cu1 Cu 0.500 0.500 0.500 1
```

## Properties
Total energy, eV per atom: -3.039
D(E_F), states/eV per cell: 4.3
ΔH_f (0 K), kJ per mole of atoms: 42.7
Magnetic moment, μB/f.u.: 0.0


Entry 5:
Material: Sr2YCu
Method: DFT, PBE-GGA
State: relaxed

The structure in CIF format:
```
data_Sr2YCu
_cell_length_a 7.100
_cell_length_b 7.100
_cell_length_c 7.100
_cell_angle_alpha 148.80
_cell_angle_beta 130.23
_cell_angle_gamma 59.92
_symmetry_space_group_name_H-M 'P 1'
_symmetry_Int_Tables_number 1
_symmetry_space_group_name_Hall 'P 1'
loop_
_atom_site_label
_atom_site_type_symbol
_atom_site_fract_x
_atom_site_fract_y
_atom_site_fract_z
_atom_site_occupancy
Sr1 Sr 0.000 0.000 0.000 1
Sr2 Sr 0.693 0.193 0.500 1
Y1 Y 0.314 0.814 0.500 1
Cu1 Cu 0.483 0.483 0.000 1
```

## Properties
Total energy, eV per atom: -3.377
D(E_F), states/eV per cell: 5.3
ΔH_f (0 K), kJ per mole of atoms: 10.1
Magnetic moment, μB/f.u.: 0.0


Entry 6:
Material: SrYCu2
Method: DFT, PBE-GGA
State: relaxed

The structure in CIF format:
```
data_SrYCu2
_cell_length_a 4.236
_cell_length_b 4.236
_cell_length_c 5.998
_cell_angle_alpha 90.00
_cell_angle_beta 90.00
_cell_angle_gamma 90.00
_symmetry_space_group_name_H-M 'P 1'
_symmetry_Int_Tables_number 1
_symmetry_space_group_name_Hall 'P 1'
loop_
_atom_site_label
_atom_site_type_symbol
_atom_site_fract_x
_atom_site_fract_y
_atom_site_fract_z
_atom_site_occupancy
Sr1 Sr 0.000 0.000 0.000 1
Y1 Y 0.500 0.500 0.491 1
Cu1 Cu 0.000 0.000 0.501 1
Cu2 Cu 0.500 0.500 0.988 1
```

## Properties
Total energy, eV per atom: -3.975
D(E_F), states/eV per cell: 3.6
ΔH_f (0 K), kJ per mole of atoms: 10.6
Magnetic moment, μB/f.u.: 0.0